Record 1
This record from OQMD describes a geometry-optimized LuScIn2 structure. The functional is PBE.

Results
- Total moment: 0.0 μB per formula unit
- Uncorrected energy: -16.277 eV for the cell shown
- Space-group type: No. 216

Cell: 5.198 5.198 5.198 Å, 60.00 60.00 60.00°
Atoms (fractional coordinates):
Sc 0.250 0.250 0.250
Lu 0.000 0.000 0.000
In 0.750 0.750 0.750
In 0.500 0.500 0.500

---

Record 2
This record from OQMD describes a geometry-optimized LuScIn4 structure. The functional is PBE.

Results
- Total moment: 0.0 μB per formula unit
- Uncorrected energy: -23.989 eV for the cell shown
- Space-group type: No. 38

Cell: 4.557 7.296 7.296 Å, 36.16 90.00 90.00°
Atoms (fractional coordinates):
Lu 0.000 0.343 0.343
In 0.500 0.823 0.823
In 0.500 0.502 0.502
In 0.000 0.003 0.003
In 0.500 0.174 0.174
Sc 0.000 0.655 0.655

---

Record 3
This record from OQMD describes a geometry-optimized LuScIn structure. The functional is PBE.

Results
- Distance to the lowest polymorph of the same formula: 89 kJ/mol of formula units
- Total moment: 0.1 μB per formula unit
- Uncorrected energy: -13.741 eV for the cell shown
- Space-group type: No. 216

Cell: 4.965 4.965 4.965 Å, 60.00 60.00 60.00°
Atoms (fractional coordinates):
Lu 0.250 0.250 0.250
In 0.000 0.000 0.000
Sc 0.750 0.750 0.750

---

Record 4
This record from OQMD describes a geometry-optimized LuSc2In structure. The functional is PBE.

Results
- Total moment: 1.2 μB per formula unit
- Uncorrected energy: -20.486 eV for the cell shown
- Space-group type: No. 216

Cell: 5.152 5.152 5.152 Å, 60.00 60.00 60.00°
Atoms (fractional coordinates):
Lu 0.250 0.250 0.250
Sc 0.750 0.750 0.750
Sc 0.000 0.000 0.000
In 0.500 0.500 0.500